## ZrRuN2O (GGA-PBEsol)

Data for ZrRuN2O after structural relaxation.

N(E_F) in states/eV/cell: 4.650
V in A^3/atom: 13.80
ΔE_f (raw) in eV/atom: 0.48

Cell lengths 3.9684, 4.1696, 4.1696 Å; angles 90.00, 90.00, 90.00 degrees
Closest atoms and distances in Å follow each position.
Atoms (fractional coordinates):
N  0.0000  0.0000  0.5000  2 Zr 2.08
N  0.0000  0.5000  0.0000  2 Zr 2.08
O  0.5000  0.0000  0.0000  2 Zr 1.98
Zr  0.0000  0.0000  0.0000  2 O 1.98, 4 N 2.08
Ru  0.5000  0.5000  0.5000  8 N 2.88, 4 O 2.95


## ZrRuN2O (GGA-PBEsol)

Data for ZrRuN2O after structural relaxation.

N(E_F) in states/eV/cell: 2.807
V in A^3/atom: 10.97
ΔE_f (raw) in eV/atom: -0.37

Cell lengths 3.7771, 3.7771, 3.8438 Å; angles 90.00, 90.00, 90.00 degrees
Closest atoms and distances in Å follow each position.
Atoms (fractional coordinates):
N  0.5000  0.0000  0.0000  2 Ru 1.89
N  0.0000  0.5000  0.0000  2 Ru 1.89
Ru  0.0000  0.0000  0.0000  4 N 1.89, 2 O 1.92
Zr  0.5000  0.5000  0.5000  4 O 2.67, 8 N 2.69
O  0.0000  0.0000  0.5000  2 Ru 1.92


## SbSN2O (GGA-PBEsol)

Data for SbSN2O after structural relaxation.

N(E_F) in states/eV/cell: 3.321
V in A^3/atom: 16.54
ΔE_f (raw) in eV/atom: 1.86

Cell lengths 4.0494, 4.0494, 5.0428 Å; angles 90.00, 90.00, 90.00 degrees
Closest atoms and distances in Å follow each position.
Atoms (fractional coordinates):
Sb  0.0000  0.0000  0.0000  4 N 2.02
N  0.0000  0.5000  0.0000  2 Sb 2.02
N  0.5000  0.0000  0.0000  2 Sb 2.02
S  0.0000  0.0000  0.5000  2 Sb 2.52
O  0.5000  0.5000  0.5000  4 S 2.86


## SbSN2O (GGA-PBEsol)

Data for SbSN2O after structural relaxation.

N(E_F) in states/eV/cell: 1.605
V in A^3/atom: 10.27
ΔE_f (raw) in eV/atom: 0.76

Cell lengths 3.6207, 3.7662, 3.7662 Å; angles 90.00, 90.00, 90.00 degrees
Closest atoms and distances in Å follow each position.
Atoms (fractional coordinates):
N  0.0000  0.5000  0.0000  2 S 1.88
N  0.0000  0.0000  0.5000  2 S 1.88
O  0.5000  0.0000  0.0000  2 S 1.81
S  0.0000  0.0000  0.0000  2 O 1.81, 4 N 1.88
Sb  0.5000  0.5000  0.5000  8 N 2.61, 4 O 2.66


## ScS2NO (GGA-PBEsol)

Data for ScS2NO after structural relaxation.

N(E_F) in states/eV/cell: 1.665
V in A^3/atom: 12.69
ΔE_f (raw) in eV/atom: 0.25

Cell lengths 3.7857, 4.0942, 4.0942 Å; angles 90.00, 90.00, 90.00 degrees
Closest atoms and distances in Å follow each position.
Atoms (fractional coordinates):
S  0.0000  0.5000  0.0000  2 O 2.05
S  0.0000  0.0000  0.5000  2 O 2.05
O  0.0000  0.0000  0.0000  2 N 1.89, 4 S 2.05
N  0.5000  0.0000  0.0000  2 O 1.89
Sc  0.5000  0.5000  0.5000  8 S 2.79, 4 N 2.90


## SnSNO2 (GGA-PBEsol)

Data for SnSNO2 after structural relaxation.

N(E_F) in states/eV/cell: 1.656
V in A^3/atom: 10.92
ΔE_f (raw) in eV/atom: 0.12

Cell lengths 3.6276, 3.6276, 4.1508 Å; angles 90.00, 90.00, 90.00 degrees
Closest atoms and distances in Å follow each position.
Atoms (fractional coordinates):
Sn  0.5000  0.5000  0.5000  4 N 2.57, 8 O 2.76
O  0.0000  0.5000  0.0000  2 S 1.81
O  0.5000  0.0000  0.0000  2 S 1.81
N  0.0000  0.0000  0.5000  2 S 2.08
S  0.0000  0.0000  0.0000  4 O 1.81


## WSNO2 (GGA-PBEsol)

Data for WSNO2 after structural relaxation.

N(E_F) in states/eV/cell: 2.731
V in A^3/atom: 11.58
ΔE_f (raw) in eV/atom: 0.83

Cell lengths 5.5854, 3.2200, 3.2200 Å; angles 90.00, 90.00, 90.00 degrees
Closest atoms and distances in Å follow each position.
Atoms (fractional coordinates):
O  0.0000  0.0000  0.5000  2 S 1.61
O  0.0000  0.5000  0.0000  2 S 1.61
N  0.5000  0.0000  0.0000  4 W 2.28
W  0.5000  0.5000  0.5000  4 N 2.28
S  0.0000  0.0000  0.0000  4 O 1.61


## ZnS2NO (GGA-PBEsol)

Data for ZnS2NO after structural relaxation.

N(E_F) in states/eV/cell: 5.025
V in A^3/atom: 16.22
ΔE_f (raw) in eV/atom: 1.64

Cell lengths 3.7526, 4.6485, 4.6485 Å; angles 90.00, 90.00, 90.00 degrees
Closest atoms and distances in Å follow each position.
Atoms (fractional coordinates):
S  0.0000  0.0000  0.5000  2 Zn 2.32
S  0.0000  0.5000  0.0000  2 Zn 2.32
N  0.5000  0.0000  0.0000  2 Zn 1.88
O  0.5000  0.5000  0.5000  8 S 2.99, 4 N 3.29
Zn  0.0000  0.0000  0.0000  2 N 1.88


## SbNO (GGA-PBEsol)

Data for SbNO after structural relaxation.

N(E_F) in states/eV/cell: 1.102
V in A^3/atom: 18.80
ΔE_f (raw) in eV/atom: -0.59

Cell lengths 3.2077, 4.1532, 8.7169 Å; angles 103.78, 90.69, 90.00 degrees
Closest atoms and distances in Å follow each position.
Atoms (fractional coordinates):
Sb  0.0062  0.8288  0.6575  3 O 2.03-2.17
Sb  0.9938  0.1712  0.3425  3 O 2.03-2.17
O  0.9967  0.7089  0.4179  3 Sb 2.03-2.17
O  0.0033  0.2911  0.5821  3 Sb 2.03-2.17
N  0.4968  0.4669  0.9339  1 N 1.12
N  0.5032  0.5331  0.0661  1 N 1.12


## SiSbN2O (GGA-PBEsol)

Data for SiSbN2O after structural relaxation.

N(E_F) in states/eV/cell: 2.615
V in A^3/atom: 9.79
ΔE_f (raw) in eV/atom: -0.39

Cell lengths 3.5041, 3.7379, 3.7379 Å; angles 90.00, 90.00, 90.00 degrees
Closest atoms and distances in Å follow each position.
Atoms (fractional coordinates):
Si  0.0000  0.0000  0.0000  2 O 1.75, 4 N 1.87
O  0.5000  0.0000  0.0000  2 Si 1.75
N  0.0000  0.0000  0.5000  2 Si 1.87
N  0.0000  0.5000  0.0000  2 Si 1.87
Sb  0.5000  0.5000  0.5000  8 N 2.56, 4 O 2.64


## SnSbNO2 (GGA-PBEsol)

Data for SnSbNO2 after structural relaxation.

N(E_F) in states/eV/cell: 0.220
V in A^3/atom: 13.30
ΔE_f (raw) in eV/atom: -0.33

Cell lengths 3.9837, 3.9837, 4.1892 Å; angles 90.00, 90.00, 90.00 degrees
Closest atoms and distances in Å follow each position.
Atoms (fractional coordinates):
N  0.0000  0.0000  0.5000  2 Sn 2.09
Sn  0.0000  0.0000  0.0000  4 O 1.99, 2 N 2.09
O  0.5000  0.0000  0.0000  2 Sn 1.99
O  0.0000  0.5000  0.0000  2 Sn 1.99
Sb  0.5000  0.5000  0.5000  4 N 2.82, 8 O 2.89


## SrSbN2O (GGA-PBEsol)

Data for SrSbN2O after structural relaxation.

N(E_F) in states/eV/cell: 2.692
V in A^3/atom: 13.45
ΔE_f (raw) in eV/atom: -0.54

Cell lengths 4.0415, 4.0415, 4.1161 Å; angles 90.00, 90.00, 90.00 degrees
Closest atoms and distances in Å follow each position.
Atoms (fractional coordinates):
Sr  0.5000  0.5000  0.5000  4 O 2.86, 8 N 2.88
N  0.5000  0.0000  0.0000  2 Sb 2.02
N  0.0000  0.5000  0.0000  2 Sb 2.02
Sb  0.0000  0.0000  0.0000  4 N 2.02, 2 O 2.06
O  0.0000  0.0000  0.5000  2 Sb 2.06


## Sb2TeNO (GGA-PBEsol)

Data for Sb2TeNO after structural relaxation.

N(E_F) in states/eV/cell: 3.017
V in A^3/atom: 20.69
ΔE_f (raw) in eV/atom: 1.02

Cell lengths 4.6871, 4.6871, 4.7090 Å; angles 90.00, 90.00, 90.00 degrees
Closest atoms and distances in Å follow each position.
Atoms (fractional coordinates):
Te  0.0000  0.0000  0.5000  2 O 2.35
N  0.5000  0.5000  0.5000  4 Te 3.31, 8 Sb 3.32
Sb  0.0000  0.5000  0.0000  2 O 2.34
Sb  0.5000  0.0000  0.0000  2 O 2.34
O  0.0000  0.0000  0.0000  4 Sb 2.34, 2 Te 2.35


## Th2SbNO (GGA-PBEsol)

Data for Th2SbNO after structural relaxation.

N(E_F) in states/eV/cell: 0.029
V in A^3/atom: 20.53
ΔE_f (raw) in eV/atom: -2.27

Cell lengths 4.0149, 4.0149, 6.9727 Å; angles 106.73, 106.73, 90.00 degrees
Closest atoms and distances in Å follow each position.
Atoms (fractional coordinates):
O  0.7500  0.2500  0.5000  4 Th 2.35
N  0.2500  0.7500  0.5000  4 Th 2.35
Th  0.6541  0.6541  0.3083  2 O 2.35, 2 N 2.35
Th  0.3459  0.3459  0.6917  2 O 2.35, 2 N 2.35
Sb  0.0000  0.0000  0.0000  8 Th 3.45, 4 O 3.76, 4 N 3.76


## TiSbNO2 (GGA-PBEsol)

Data for TiSbNO2 after structural relaxation.

N(E_F) in states/eV/cell: 4.986
V in A^3/atom: 12.41
ΔE_f (raw) in eV/atom: -0.40

Cell lengths 3.9256, 3.9256, 4.0274 Å; angles 90.00, 90.00, 90.00 degrees
Closest atoms and distances in Å follow each position.
Atoms (fractional coordinates):
Ti  0.5000  0.5000  0.5000  4 N 2.78, 8 O 2.81
O  0.0000  0.5000  0.0000  2 Sb 1.96
O  0.5000  0.0000  0.0000  2 Sb 1.96
Sb  0.0000  0.0000  0.0000  4 O 1.96, 2 N 2.01
N  0.0000  0.0000  0.5000  2 Sb 2.01


## TlSbNO2 (GGA-PBEsol)

Data for TlSbNO2 after structural relaxation.

N(E_F) in states/eV/cell: 1.264
V in A^3/atom: 13.23
ΔE_f (raw) in eV/atom: -0.32

Cell lengths 3.9476, 3.9476, 4.2453 Å; angles 90.00, 90.00, 90.00 degrees
Closest atoms and distances in Å follow each position.
Atoms (fractional coordinates):
O  0.0000  0.5000  0.0000  2 Sb 1.97
O  0.5000  0.0000  0.0000  2 Sb 1.97
N  0.0000  0.0000  0.5000  2 Sb 2.12
Tl  0.5000  0.5000  0.5000  4 N 2.79, 8 O 2.90
Sb  0.0000  0.0000  0.0000  4 O 1.97, 2 N 2.12


## TlSbNO2 (GGA-PBEsol)

Data for TlSbNO2 after structural relaxation.

N(E_F) in states/eV/cell: 1.486
V in A^3/atom: 14.60
ΔE_f (raw) in eV/atom: 0.62

Cell lengths 4.1438, 4.1438, 4.2518 Å; angles 90.00, 90.00, 90.00 degrees
Closest atoms and distances in Å follow each position.
Atoms (fractional coordinates):
O  0.5000  0.0000  0.0000  2 Tl 2.07
O  0.0000  0.5000  0.0000  2 Tl 2.07
Tl  0.0000  0.0000  0.0000  4 O 2.07, 2 N 2.13
N  0.0000  0.0000  0.5000  2 Tl 2.13
Sb  0.5000  0.5000  0.5000  4 N 2.93, 8 O 2.97


## YSbN2O (GGA-PBEsol)

Data for YSbN2O after structural relaxation.

N(E_F) in states/eV/cell: 0.410
V in A^3/atom: 12.67
ΔE_f (raw) in eV/atom: -0.78

Cell lengths 3.9320, 4.0135, 4.0135 Å; angles 90.00, 90.00, 90.00 degrees
Closest atoms and distances in Å follow each position.
Atoms (fractional coordinates):
O  0.5000  0.0000  0.0000  2 Sb 1.97
Y  0.5000  0.5000  0.5000  8 N 2.81, 4 O 2.84
N  0.0000  0.5000  0.0000  2 Sb 2.01
N  0.0000  0.0000  0.5000  2 Sb 2.01
Sb  0.0000  0.0000  0.0000  2 O 1.97, 4 N 2.01


## ZrSbNO2 (GGA-PBEsol)

Data for ZrSbNO2 after structural relaxation.

N(E_F) in states/eV/cell: 0.535
V in A^3/atom: 14.16
ΔE_f (raw) in eV/atom: -1.27

Cell lengths 4.0174, 4.0174, 4.3860 Å; angles 90.00, 90.00, 90.00 degrees
Closest atoms and distances in Å follow each position.
Atoms (fractional coordinates):
N  0.0000  0.0000  0.5000  2 Zr 2.19
Sb  0.5000  0.5000  0.5000  4 N 2.84, 8 O 2.97
O  0.5000  0.0000  0.0000  2 Zr 2.01
O  0.0000  0.5000  0.0000  2 Zr 2.01
Zr  0.0000  0.0000  0.0000  4 O 2.01, 2 N 2.19


## Sc6N2O5 (GGA-PBEsol)

Data for Sc6N2O5 after structural relaxation.

N(E_F) in states/eV/cell: 3.092
V in A^3/atom: 11.51
ΔE_f (raw) in eV/atom: -2.96

Cell lengths 5.3961, 5.3995, 5.4032 Å; angles 99.81, 99.89, 99.70 degrees
Closest atoms and distances in Å follow each position.
Atoms (fractional coordinates):
O  0.0767  0.7733  0.6254  5 Sc 2.15-2.22
O  0.2226  0.3753  0.9201  5 Sc 2.15-2.24
O  0.6280  0.0801  0.7785  5 Sc 2.16-2.23
O  0.7765  0.6237  0.0766  5 Sc 2.14-2.22
O  0.9212  0.2252  0.3788  5 Sc 2.13-2.28
N  0.5015  0.4994  0.5010  6 Sc 2.18-2.23
N  0.3732  0.9222  0.2232  5 Sc 2.13-2.17
Sc  0.4339  0.7259  0.8595  4 O 2.15-2.22, 2 N 2.17-2.23
Sc  0.5634  0.2712  0.1480  2 N 2.13-2.20, 4 O 2.18-2.24
Sc  0.8533  0.4359  0.7239  5 O 2.13-2.21, 1 N 2.18
Sc  0.1529  0.5729  0.2759  2 N 2.14-2.19, 4 O 2.15-2.28
Sc  0.7186  0.8530  0.4317  2 N 2.13-2.19, 4 O 2.18-2.23
Sc  0.2781  0.1419  0.5574  4 O 2.15-2.24, 2 N 2.17-2.19